DFT (PBE) results for crystalline Pd2AuSe2 at its relaxed geometry.

Cell lengths 7.252, 7.252, 3.493 Å; angles 90.00, 90.00, 90.00 degrees
Space group P4/mbm (No. 127)
Symmetry-distinct sites (fractional):
Pd: 0.143 0.357 0.000 x4
Au: 0.000 0.000 0.500 x2
Se: 0.166 0.666 0.500 x4

* formation energy from raw total energies: 0.024 eV per atom
* Fermi-level density of states: 0.6236 states/eV per atom
* magnetic moment: 0.00 μB per formula unit